Density functional theory data (meta-GGA SCAN) for a crystal of SrLi2Re relaxed with PBEsol.

Output
space group: No. 47
formation energy from the elements: 0.93 eV/atom
energy: -23.61 eV/atom

POSCAR file:
```
SrLi2Re
1.0
2.765 0.000 0.000
0.000 5.344 0.000
0.000 0.000 5.491
Sr Li Re
1 2 1
Cartesian
0.000 0.000 0.000
0.000 2.672 2.746
1.382 0.000 2.746
1.382 2.672 0.000
```

Density functional theory data (meta-GGA SCAN) for a crystal of Li2TaRe relaxed with PBEsol.

Output
space group: No. 25
formation energy from the elements: 0.28 eV/atom
energy: -35.34 eV/atom

POSCAR file:
```
Li2TaRe
1.0
2.565 0.000 0.000
0.000 4.242 0.000
0.000 0.000 5.838
Li Ta Re
2 1 1
Cartesian
0.000 0.000 0.000
1.282 2.121 1.305
1.282 2.121 4.111
0.000 0.000 2.886
```

Density functional theory data (meta-GGA SCAN) for a crystal of Li2TaRe relaxed with PBEsol.

Output
space group: No. 44
formation energy from the elements: 0.38 eV/atom
energy: -35.24 eV/atom

POSCAR file:
```
Li2TaRe
1.0
3.436 0.000 0.000
0.000 4.354 0.000
0.000 0.000 7.399
Li Ta Re
4 2 2
Cartesian
0.000 0.000 0.000
0.000 2.177 2.240
1.718 0.000 5.940
1.718 2.177 3.700
0.000 0.000 3.960
1.718 2.177 0.260
0.000 2.177 5.616
1.718 0.000 1.917
```